# 1
Pm2Ho7Mg2: optimized geometry, GGA-PBE.

Calculated values
SG: No. 12
total moment: 0.00 Bohr magnetons per cell
DOS at the Fermi energy: 13.4 states/eV/cell
uncorrected energy: -3.898 eV/atom
calculated formation energy: 168.4 meV/atom

Unit cell a=5.680 b=8.071 c=8.071 alpha=88.45 beta=74.73 gamma=74.73
Atoms (fractional coordinates):
Pm  0.500  0.222  0.778
Pm  0.500  0.778  0.222
Ho  0.185  0.017  0.601
Ho  0.815  0.399  0.983
Ho  0.815  0.983  0.399
Ho  0.185  0.601  0.017
Ho  0.000  0.000  0.000
Ho  0.658  0.773  0.773
Ho  0.342  0.227  0.227
Mg  0.784  0.432  0.432
Mg  0.216  0.568  0.568

# 2
Pm8Ho6Mg: optimized geometry, GGA-PBE.

Calculated values
SG: No. 147
total moment: 0.00 Bohr magnetons per cell
DOS at the Fermi energy: 21.8 states/eV/cell
uncorrected energy: -4.332 eV/atom
calculated formation energy: 139.1 meV/atom

Unit cell a=6.473 b=9.357 c=9.357 alpha=120.00 beta=90.00 gamma=90.00
Atoms (fractional coordinates):
Pm  0.824  0.038  0.275
Pm  0.824  0.725  0.763
Pm  0.824  0.237  0.962
Pm  0.176  0.962  0.725
Pm  0.176  0.275  0.237
Pm  0.176  0.763  0.038
Pm  0.858  0.333  0.667
Pm  0.142  0.667  0.333
Ho  0.666  0.650  0.095
Ho  0.666  0.905  0.554
Ho  0.666  0.446  0.350
Ho  0.334  0.350  0.905
Ho  0.334  0.095  0.446
Ho  0.334  0.554  0.650
Mg  0.500  0.000  0.000

# 3
PmHo2Mg3: optimized geometry, GGA-PBE.

Calculated values
SG: No. 123
total moment: 0.00 Bohr magnetons per cell
DOS at the Fermi energy: 7.9 states/eV/cell
uncorrected energy: -3.198 eV/atom
calculated formation energy: -82.5 meV/atom

Unit cell a=3.799 b=3.799 c=11.432 alpha=90.00 beta=90.00 gamma=90.00
Atoms (fractional coordinates):
Pm  0.500  0.500  0.500
Ho  0.500  0.500  0.837
Ho  0.500  0.500  0.163
Mg  0.000  0.000  0.000
Mg  0.000  0.000  0.674
Mg  0.000  0.000  0.326

# 4
Pm4HoMg: optimized geometry, GGA-PBE.

Calculated values
SG: No. 8
total moment: 0.00 Bohr magnetons per cell
DOS at the Fermi energy: 9.3 states/eV/cell
uncorrected energy: -3.669 eV/atom
calculated formation energy: 527.3 meV/atom
ΔE to the lowest computed polymorph: 0.548 eV/atom

Unit cell a=5.474 b=5.474 c=7.461 alpha=89.92 beta=89.95 gamma=90.00
Atoms (fractional coordinates):
Pm  0.501  0.997  0.253
Pm  0.501  0.997  0.743
Pm  0.002  0.497  0.743
Pm  0.001  0.498  0.253
Ho  0.501  0.497  0.998
Mg  0.001  0.997  0.498

# 5
Pm14HoMg: optimized geometry, GGA-PBE.

Calculated values
SG: No. 38
total moment: 0.00 Bohr magnetons per cell
DOS at the Fermi energy: 20.3 states/eV/cell
uncorrected energy: -4.533 eV/atom
calculated formation energy: 9.7 meV/atom

Unit cell a=7.222 b=7.222 c=10.249 alpha=90.00 beta=90.00 gamma=90.01
Atoms (fractional coordinates):
Pm  0.375  0.625  0.500
Pm  0.875  0.125  0.500
Pm  0.876  0.626  0.000
Pm  0.875  0.624  0.500
Pm  0.374  0.124  0.000
Pm  0.376  0.125  0.500
Pm  0.625  0.875  0.753
Pm  0.625  0.875  0.247
Pm  0.125  0.375  0.753
Pm  0.125  0.375  0.247
Pm  0.125  0.875  0.752
Pm  0.125  0.875  0.248
Pm  0.625  0.375  0.754
Pm  0.625  0.375  0.246
Ho  0.375  0.625  0.000
Mg  0.874  0.126  0.000

# 6
Pm4HoMg7: optimized geometry, GGA-PBE.

Calculated values
SG: No. 12
total moment: 0.00 Bohr magnetons per cell
DOS at the Fermi energy: 14.0 states/eV/cell
uncorrected energy: -2.771 eV/atom
calculated formation energy: 124.4 meV/atom

Unit cell a=5.729 b=11.009 c=6.427 alpha=87.59 beta=63.53 gamma=74.92
Atoms (fractional coordinates):
Pm  0.620  0.219  0.540
Pm  0.380  0.781  0.460
Pm  0.774  0.662  0.791
Pm  0.226  0.338  0.209
Ho  0.000  0.000  0.000
Mg  0.780  0.923  0.518
Mg  0.220  0.077  0.482
Mg  0.075  0.688  0.162
Mg  0.925  0.312  0.838
Mg  0.373  0.500  0.755
Mg  0.500  0.000  0.000
Mg  0.627  0.500  0.245

# 7
PmHo4Mg2: optimized geometry, GGA-PBE.

Calculated values
SG: No. 139
total moment: 1.13 Bohr magnetons per cell
DOS at the Fermi energy: 9.8 states/eV/cell
uncorrected energy: -3.063 eV/atom
calculated formation energy: 687.4 meV/atom

Unit cell a=5.511 b=5.511 c=8.893 alpha=108.05 beta=108.05 gamma=90.00
Site moments in Bohr magnetons follow the coordinates.
Atoms (fractional coordinates):
Pm  0.000  0.000  0.000  0.15
Ho  0.813  0.813  0.626  0.25
Ho  0.187  0.187  0.374  0.25
Ho  0.000  0.500  0.000  0.03
Ho  0.500  0.000  0.000  0.03
Mg  0.387  0.387  0.775  0.00
Mg  0.613  0.613  0.225  0.00

# 8
PmHo8Mg2: optimized geometry, GGA-PBE.

Calculated values
SG: No. 12
total moment: 0.00 Bohr magnetons per cell
DOS at the Fermi energy: 13.6 states/eV/cell
uncorrected energy: -3.901 eV/atom
calculated formation energy: 149.7 meV/atom
ΔE to the lowest computed polymorph: 0.129 eV/atom

Unit cell a=5.639 b=8.698 c=8.841 alpha=60.53 beta=77.85 gamma=64.67
Atoms (fractional coordinates):
Pm  0.500  0.000  0.000
Ho  0.869  0.097  0.224
Ho  0.869  0.321  0.776
Ho  0.297  0.408  0.000
Ho  0.500  0.786  0.429
Ho  0.500  0.214  0.571
Ho  0.703  0.592  0.000
Ho  0.131  0.679  0.224
Ho  0.131  0.903  0.776
Mg  0.000  0.307  0.386
Mg  0.000  0.693  0.614

# 9
Pm2Ho6Mg: optimized geometry, GGA-PBE.

Calculated values
SG: No. 187
total moment: 0.00 Bohr magnetons per cell
DOS at the Fermi energy: 14.0 states/eV/cell
uncorrected energy: -4.210 eV/atom
calculated formation energy: 74.8 meV/atom
ΔE to the lowest computed polymorph: 0.050 eV/atom

Unit cell a=3.546 b=3.546 c=26.015 alpha=90.00 beta=90.00 gamma=120.00
Atoms (fractional coordinates):
Pm  0.667  0.333  0.327
Pm  0.667  0.333  0.673
Ho  0.667  0.333  0.896
Ho  0.333  0.667  0.436
Ho  0.333  0.667  0.788
Ho  0.333  0.667  0.212
Ho  0.333  0.667  0.564
Ho  0.667  0.333  0.104
Mg  0.333  0.667  0.000

# 10
Pm2HoMg: optimized geometry, GGA-PBE.

Calculated values
SG: No. 123
total moment: 0.00 Bohr magnetons per cell
DOS at the Fermi energy: 4.7 states/eV/cell
uncorrected energy: -3.948 eV/atom
calculated formation energy: -29.9 meV/atom
ΔE to the lowest computed polymorph: 0.000 eV/atom

Unit cell a=3.701 b=3.701 c=9.020 alpha=90.00 beta=90.00 gamma=90.00
Atoms (fractional coordinates):
Mg  0.500  0.500  0.000
Ho  0.500  0.500  0.500
Pm  0.000  0.000  0.769
Pm  0.000  0.000  0.231

# 11
Pm7Ho2Mg2: optimized geometry, GGA-PBE.

Calculated values
SG: No. 44
total moment: 0.23 Bohr magnetons per cell
DOS at the Fermi energy: 13.8 states/eV/cell
uncorrected energy: -4.028 eV/atom
calculated formation energy: 117.0 meV/atom
ΔE to the lowest computed polymorph: 0.005 eV/atom

Unit cell a=3.590 b=10.721 c=10.721 alpha=64.61 beta=80.36 gamma=80.36
Site moments in Bohr magnetons follow the coordinates.
Atoms (fractional coordinates):
Pm  0.825  0.016  0.334  0.00
Pm  0.842  0.488  0.827  0.00
Pm  0.500  0.037  0.963  0.10
Pm  0.610  0.481  0.299  0.00
Pm  0.390  0.701  0.519  0.00
Pm  0.175  0.666  0.984  0.00
Pm  0.158  0.173  0.512  0.00
Ho  0.717  0.868  0.697  0.01
Ho  0.283  0.303  0.132  0.01
Mg  0.000  0.784  0.216  0.00
Mg  0.500  0.338  0.662  0.00

# 12
Pm3Ho4Mg: optimized geometry, GGA-PBE.

Calculated values
SG: No. 31
total moment: 0.00 Bohr magnetons per cell
DOS at the Fermi energy: 21.7 states/eV/cell
uncorrected energy: -4.268 eV/atom
calculated formation energy: 1.4 meV/atom
ΔE to the lowest computed polymorph: 0.000 eV/atom

Unit cell a=6.221 b=7.164 c=11.312 alpha=90.00 beta=90.00 gamma=90.00
Atoms (fractional coordinates):
Pm  0.495  0.630  0.000
Pm  0.149  0.622  0.242
Pm  0.649  0.378  0.258
Pm  0.995  0.370  0.500
Pm  0.649  0.378  0.742
Pm  0.149  0.622  0.758
Ho  0.968  0.883  0.000
Ho  0.484  0.125  0.000
Ho  0.143  0.124  0.244
Ho  0.643  0.876  0.256
Ho  0.984  0.875  0.500
Ho  0.468  0.117  0.500
Ho  0.643  0.876  0.744
Ho  0.143  0.124  0.756
Mg  0.984  0.370  0.000
Mg  0.484  0.630  0.500

# 13
Pm3Ho7Mg2: optimized geometry, GGA-PBE.

Calculated values
SG: No. 10
total moment: 0.00 Bohr magnetons per cell
DOS at the Fermi energy: 14.2 states/eV/cell
uncorrected energy: -4.040 eV/atom
calculated formation energy: 84.2 meV/atom

Unit cell a=3.536 b=5.762 c=19.101 alpha=103.82 beta=90.00 gamma=90.00
Atoms (fractional coordinates):
Pm  0.500  0.500  0.000
Pm  0.000  0.145  0.368
Pm  0.000  0.855  0.632
Ho  0.500  0.720  0.461
Ho  0.500  0.280  0.539
Ho  0.000  0.462  0.148
Ho  0.000  0.000  0.000
Ho  0.000  0.538  0.852
Ho  0.500  0.022  0.832
Ho  0.500  0.978  0.168
Mg  0.500  0.587  0.292
Mg  0.500  0.413  0.708

# 14
Pm6Ho12Mg: optimized geometry, GGA-PBE.

Calculated values
SG: No. 148
total moment: 0.00 Bohr magnetons per cell
DOS at the Fermi energy: 27.5 states/eV/cell
uncorrected energy: -4.347 eV/atom
calculated formation energy: 128.8 meV/atom
ΔE to the lowest computed polymorph: 0.000 eV/atom

Unit cell a=8.498 b=8.498 c=8.498 alpha=88.84 beta=88.84 gamma=88.84
Atoms (fractional coordinates):
Pm  0.739  0.907  0.302
Pm  0.698  0.261  0.093
Pm  0.093  0.698  0.261
Pm  0.261  0.093  0.698
Pm  0.302  0.739  0.907
Pm  0.907  0.302  0.739
Ho  0.778  0.538  0.437
Ho  0.437  0.778  0.538
Ho  0.538  0.437  0.778
Ho  0.222  0.462  0.563
Ho  0.563  0.222  0.462
Ho  0.462  0.563  0.222
Ho  0.014  0.189  0.361
Ho  0.811  0.639  0.986
Ho  0.639  0.986  0.811
Ho  0.986  0.811  0.639
Ho  0.189  0.361  0.014
Ho  0.361  0.014  0.189
Mg  0.000  0.000  0.000

# 15
Pm3Ho8Mg: optimized geometry, GGA-PBE.

Calculated values
SG: No. 121
total moment: 0.00 Bohr magnetons per cell
DOS at the Fermi energy: 18.5 states/eV/cell
uncorrected energy: -3.775 eV/atom
calculated formation energy: 597.2 meV/atom

Unit cell a=8.287 b=8.287 c=8.287 alpha=94.99 beta=117.16 gamma=117.16
Atoms (fractional coordinates):
Pm  0.500  0.750  0.250
Pm  0.500  0.250  0.750
Pm  0.000  0.500  0.500
Ho  0.487  0.240  0.240
Ho  0.513  0.753  0.753
Ho  0.000  0.760  0.247
Ho  0.000  0.247  0.760
Ho  0.253  0.374  0.374
Ho  0.747  0.121  0.121
Ho  0.000  0.626  0.879
Ho  0.000  0.879  0.626
Mg  0.000  0.000  0.000

# 16
PmHo5Mg3: optimized geometry, GGA-PBE.

Calculated values
SG: No. 12
total moment: 0.00 Bohr magnetons per cell
DOS at the Fermi energy: 21.5 states/eV/cell
uncorrected energy: -3.240 eV/atom
calculated formation energy: 362.2 meV/atom

Unit cell a=7.278 b=7.278 c=12.054 alpha=78.65 beta=78.65 gamma=77.11
Atoms (fractional coordinates):
Pm  0.118  0.118  0.734
Pm  0.882  0.882  0.266
Ho  0.996  0.361  0.203
Ho  0.309  0.691  0.000
Ho  0.725  0.725  0.068
Ho  0.587  0.587  0.370
Ho  0.413  0.413  0.630
Ho  0.275  0.275  0.932
Ho  0.361  0.996  0.203
Ho  0.691  0.309  0.000
Ho  0.004  0.639  0.797
Ho  0.639  0.004  0.797
Mg  0.577  0.577  0.788
Mg  0.735  0.735  0.563
Mg  0.000  0.000  0.000
Mg  0.000  0.000  0.500
Mg  0.423  0.423  0.212
Mg  0.265  0.265  0.437

# 17
Pm8HoMg2: optimized geometry, GGA-PBE.

Calculated values
SG: No. 12
total moment: 0.00 Bohr magnetons per cell
DOS at the Fermi energy: 16.3 states/eV/cell
uncorrected energy: -4.152 eV/atom
calculated formation energy: 9.2 meV/atom
ΔE to the lowest computed polymorph: 0.000 eV/atom

Unit cell a=5.137 b=8.183 c=9.264 alpha=107.79 beta=106.10 gamma=90.00
Atoms (fractional coordinates):
Pm  0.594  0.459  0.188
Pm  0.316  0.066  0.633
Pm  0.141  0.196  0.281
Pm  0.049  0.734  0.099
Pm  0.859  0.804  0.719
Pm  0.684  0.934  0.367
Pm  0.406  0.541  0.812
Pm  0.951  0.266  0.901
Ho  0.500  0.000  0.000
Mg  0.227  0.634  0.454
Mg  0.773  0.366  0.546

# 18
Pm3HoMg3: optimized geometry, GGA-PBE.

Calculated values
SG: No. 12
total moment: 1.61 Bohr magnetons per cell
DOS at the Fermi energy: 18.3 states/eV/cell
uncorrected energy: -3.290 eV/atom
calculated formation energy: 82.9 meV/atom
ΔE to the lowest computed polymorph: 0.014 eV/atom

Unit cell a=6.518 b=6.518 c=10.722 alpha=90.86 beta=90.86 gamma=111.37
Site moments in Bohr magnetons follow the coordinates.
Atoms (fractional coordinates):
Pm  0.532  0.532  0.328  0.17
Pm  0.175  0.825  0.500  0.14
Pm  0.825  0.175  0.500  0.14
Pm  0.225  0.775  0.000  0.00
Pm  0.775  0.225  0.000  0.00
Pm  0.468  0.468  0.672  0.17
Ho  0.715  0.715  0.991  0.02
Ho  0.285  0.285  0.009  0.02
Mg  0.000  0.000  0.241  0.00
Mg  0.984  0.500  0.751  0.00
Mg  0.500  0.984  0.751  0.00
Mg  0.016  0.500  0.249  0.00
Mg  0.500  0.016  0.249  0.00
Mg  0.000  0.000  0.759  0.00

# 19
PmHoMg5: optimized geometry, GGA-PBE.

Calculated values
SG: No. 65
total moment: 0.00 Bohr magnetons per cell
DOS at the Fermi energy: 6.0 states/eV/cell
uncorrected energy: -2.289 eV/atom
calculated formation energy: 182.2 meV/atom

Unit cell a=5.213 b=5.213 c=7.294 alpha=90.00 beta=90.00 gamma=90.19
Atoms (fractional coordinates):
Pm  0.000  0.000  0.000
Ho  0.500  0.500  0.500
Mg  0.500  0.000  0.245
Mg  0.000  0.500  0.245
Mg  0.000  0.000  0.500
Mg  0.000  0.500  0.755
Mg  0.500  0.000  0.755

# 20
Pm6Ho5Mg: optimized geometry, GGA-PBE.

Calculated values
SG: No. 12
total moment: 0.00 Bohr magnetons per cell
DOS at the Fermi energy: 14.4 states/eV/cell
uncorrected energy: -4.396 eV/atom
calculated formation energy: 19.7 meV/atom

Unit cell a=6.187 b=7.964 c=7.964 alpha=84.76 beta=97.67 gamma=97.67
Atoms (fractional coordinates):
Mg  0.000  0.000  0.000
Ho  0.500  0.834  0.166
Ho  0.000  0.666  0.334
Ho  0.500  0.500  0.500
Ho  0.000  0.334  0.666
Ho  0.500  0.166  0.834
Pm  0.747  0.919  0.586
Pm  0.253  0.414  0.081
Pm  0.249  0.748  0.748
Pm  0.751  0.252  0.252
Pm  0.747  0.586  0.919
Pm  0.253  0.081  0.414

# 21
Pm5Ho3Mg: optimized geometry, GGA-PBE.

Calculated values
SG: No. 12
total moment: 0.00 Bohr magnetons per cell
DOS at the Fermi energy: 25.5 states/eV/cell
uncorrected energy: -3.793 eV/atom
calculated formation energy: 549.2 meV/atom

Unit cell a=9.987 b=9.987 c=9.124 alpha=58.85 beta=58.85 gamma=71.84
Atoms (fractional coordinates):
Pm  0.932  0.405  0.358
Pm  0.256  0.744  0.000
Pm  0.813  0.813  0.939
Pm  0.550  0.550  0.248
Pm  0.450  0.450  0.752
Pm  0.187  0.187  0.061
Pm  0.405  0.932  0.358
Pm  0.744  0.256  0.000
Pm  0.068  0.595  0.642
Pm  0.595  0.068  0.642
Ho  0.642  0.642  0.803
Ho  0.702  0.702  0.375
Ho  0.000  0.000  0.000
Ho  0.000  0.000  0.500
Ho  0.358  0.358  0.197
Ho  0.298  0.298  0.625
Mg  0.133  0.133  0.593
Mg  0.867  0.867  0.407